A relaxed structure of CuNi2Hg. Source: Alexandria, functional GGA-PBE.

```
data_CuNi2Hg
_chemical_formula_sum 'Cu1 Ni2 Hg1'
_symmetry_space_group_name_H-M 'P 1'
_symmetry_Int_Tables_number 1
_symmetry_space_group_name_Hall 'P 1'
_cell_length_a 3.8870
_cell_length_b 3.8884
_cell_length_c 3.5877
_cell_angle_alpha 90.00
_cell_angle_beta 90.00
_cell_angle_gamma 90.00
loop_
_atom_site_label
_atom_site_type_symbol
_atom_site_fract_x
_atom_site_fract_y
_atom_site_fract_z
Ni1 Ni 0.5000 0.5000 0.0000
Ni2 Ni 0.0000 0.0000 0.0000
Hg1 Hg 0.0000 0.5000 0.5000
Cu1 Cu 0.5000 0.0000 0.5000
```

## Properties
Symmetry   P4/mmm, No. 123
Density of states at the Fermi level   3.03 states/eV/cell
Uncorrected energy   -3.81 eV per atom

A relaxed structure of TlOsRh2. Source: Alexandria, functional GGA-PBE.

```
data_TlOsRh2
_chemical_formula_sum 'Tl1 Os1 Rh2'
_symmetry_space_group_name_H-M 'P 1'
_symmetry_Int_Tables_number 1
_symmetry_space_group_name_Hall 'P 1'
_cell_length_a 4.5315
_cell_length_b 4.5315
_cell_length_c 4.5315
_cell_angle_alpha 60.00
_cell_angle_beta 60.00
_cell_angle_gamma 60.00
loop_
_atom_site_label
_atom_site_type_symbol
_atom_site_fract_x
_atom_site_fract_y
_atom_site_fract_z
Tl1 Tl 0.5000 0.5000 0.5000
Rh1 Rh 0.7500 0.7500 0.7500
Rh2 Rh 0.2500 0.2500 0.2500
Os1 Os 0.0000 0.0000 0.0000
```

## Properties
Symmetry   Fm-3m, No. 225
Density of states at the Fermi level   5.73 states/eV/cell
Offset from the most stable computed form   369 meV per atom
Uncorrected energy   -6.48 eV per atom

A relaxed structure of CaLuCdIn. Source: Alexandria, functional GGA-PBE.

```
data_CaLuCdIn
_chemical_formula_sum 'Ca1 Lu1 Cd1 In1'
_symmetry_space_group_name_H-M 'P 1'
_symmetry_Int_Tables_number 1
_symmetry_space_group_name_Hall 'P 1'
_cell_length_a 5.3046
_cell_length_b 5.3046
_cell_length_c 5.3046
_cell_angle_alpha 60.00
_cell_angle_beta 60.00
_cell_angle_gamma 60.00
loop_
_atom_site_label
_atom_site_type_symbol
_atom_site_fract_x
_atom_site_fract_y
_atom_site_fract_z
Lu1 Lu 0.5000 0.5000 0.5000
In1 In 0.2500 0.2500 0.2500
Ca1 Ca 0.0000 0.0000 0.0000
Cd1 Cd 0.7500 0.7500 0.7500
```

## Properties
Symmetry   F-43m, No. 216
Density of states at the Fermi level   2.08 states/eV/cell
Uncorrected energy   -2.93 eV per atom

A relaxed structure of Li2PBr. Source: Alexandria, functional GGA-PBE.

```
data_Li2PBr
_chemical_formula_sum 'Li2 P1 Br1'
_symmetry_space_group_name_H-M 'P 1'
_symmetry_Int_Tables_number 1
_symmetry_space_group_name_Hall 'P 1'
_cell_length_a 4.7950
_cell_length_b 4.7950
_cell_length_c 4.7950
_cell_angle_alpha 60.00
_cell_angle_beta 60.00
_cell_angle_gamma 60.00
loop_
_atom_site_label
_atom_site_type_symbol
_atom_site_fract_x
_atom_site_fract_y
_atom_site_fract_z
Li1 Li 0.7500 0.7500 0.7500
Li2 Li 0.0000 0.0000 0.0000
Br1 Br 0.5000 0.5000 0.5000
P1 P 0.2500 0.2500 0.2500
```

## Properties
Symmetry   F-43m, No. 216
Density of states at the Fermi level   4.68 states/eV/cell
Offset from the most stable computed form   648 meV per atom
Uncorrected energy   -2.67 eV per atom

A relaxed structure of AgOsCl2. Source: Alexandria, functional GGA-PBE.

```
data_AgOsCl2
_chemical_formula_sum 'Ag1 Os1 Cl2'
_symmetry_space_group_name_H-M 'P 1'
_symmetry_Int_Tables_number 1
_symmetry_space_group_name_Hall 'P 1'
_cell_length_a 3.0847
_cell_length_b 3.0847
_cell_length_c 9.6466
_cell_angle_alpha 90.00
_cell_angle_beta 90.00
_cell_angle_gamma 123.21
loop_
_atom_site_label
_atom_site_type_symbol
_atom_site_fract_x
_atom_site_fract_y
_atom_site_fract_z
Cl1 Cl 0.0000 0.0000 0.9586
Cl2 Cl 0.5000 0.5000 0.3067
Ag1 Ag 0.5000 0.5000 0.7386
Os1 Os 0.0000 0.0000 0.4961
```

## Properties
Symmetry   Cmm2, No. 35
Density of states at the Fermi level   4.62 states/eV/cell
Offset from the most stable computed form   236 meV per atom
Uncorrected energy   -3.96 eV per atom

A relaxed structure of TaCr2Co. Source: Alexandria, functional GGA-PBE.

```
data_TaCr2Co
_chemical_formula_sum 'Ta1 Cr2 Co1'
_symmetry_space_group_name_H-M 'P 1'
_symmetry_Int_Tables_number 1
_symmetry_space_group_name_Hall 'P 1'
_cell_length_a 3.0439
_cell_length_b 4.1331
_cell_length_c 4.2259
_cell_angle_alpha 90.00
_cell_angle_beta 90.00
_cell_angle_gamma 90.00
loop_
_atom_site_label
_atom_site_type_symbol
_atom_site_fract_x
_atom_site_fract_y
_atom_site_fract_z
Ta1 Ta 0.5000 0.0000 0.5000
Cr1 Cr 0.0000 0.0000 0.0000
Cr2 Cr 0.5000 0.5000 0.0000
Co1 Co 0.0000 0.5000 0.5000
```

## Properties
Symmetry   Pmmm, No. 47
Density of states at the Fermi level   2.76 states/eV/cell
Offset from the most stable computed form   21 meV per atom
Uncorrected energy   -9.52 eV per atom

A relaxed structure of Th2MoSe. Source: Alexandria, functional GGA-PBE.

```
data_Th2MoSe
_chemical_formula_sum 'Th2 Mo1 Se1'
_symmetry_space_group_name_H-M 'P 1'
_symmetry_Int_Tables_number 1
_symmetry_space_group_name_Hall 'P 1'
_cell_length_a 3.6251
_cell_length_b 3.6251
_cell_length_c 9.7283
_cell_angle_alpha 79.26
_cell_angle_beta 79.26
_cell_angle_gamma 60.00
loop_
_atom_site_label
_atom_site_type_symbol
_atom_site_fract_x
_atom_site_fract_y
_atom_site_fract_z
Se1 Se 0.5000 0.5000 0.5000
Th1 Th 0.9099 0.9099 0.2703
Th2 Th 0.0901 0.0901 0.7297
Mo1 Mo 0.0000 0.0000 0.0000
```

## Properties
Symmetry   R-3m, No. 166
Density of states at the Fermi level   4.23 states/eV/cell
Uncorrected energy   -7.18 eV per atom

A relaxed structure of DyTm12Co5. Source: Alexandria, functional GGA-PBE.

```
data_DyTm12Co5
_chemical_formula_sum 'Dy1 Tm12 Co5'
_symmetry_space_group_name_H-M 'P 1'
_symmetry_Int_Tables_number 1
_symmetry_space_group_name_Hall 'P 1'
_cell_length_a 8.2409
_cell_length_b 8.2409
_cell_length_c 8.2409
_cell_angle_alpha 106.10
_cell_angle_beta 111.31
_cell_angle_gamma 111.05
loop_
_atom_site_label
_atom_site_type_symbol
_atom_site_fract_x
_atom_site_fract_y
_atom_site_fract_z
Tm1 Tm 0.1062 0.8178 0.2884
Tm2 Tm 0.8938 0.1822 0.7116
Tm3 Tm 0.6882 0.3141 0.0023
Tm4 Tm 0.4705 0.1822 0.2884
Tm5 Tm 0.3118 0.3141 0.6260
Tm6 Tm 0.1913 0.3971 0.2058
Tm7 Tm 0.1913 0.9855 0.7942
Tm8 Tm 0.8087 0.0145 0.2058
Tm9 Tm 0.3118 0.6859 0.9977
Tm10 Tm 0.6882 0.6859 0.3740
Tm11 Tm 0.5295 0.8178 0.7116
Tm12 Tm 0.8087 0.6029 0.7942
Co1 Co 0.5000 0.8873 0.3873
Co2 Co 0.3731 0.3731 0.0000
Co3 Co 0.0000 0.0000 0.0000
Co4 Co 0.6269 0.6269 0.0000
Co5 Co 0.5000 0.1127 0.6127
Dy1 Dy 0.0000 0.5000 0.5000
```

## Properties
Symmetry   Immm, No. 71
Density of states at the Fermi level   16.76 states/eV/cell
Uncorrected energy   -5.36 eV per atom

Which value of uncorrected energy does entry 4 give?
-2.67 eV per atom

Which of these has the lowest uncorrected energy?
TaCr2Co

Which of these has the lowest density of states at the Fermi level?
CaLuCdIn

What is the uncorrected energy in the seventh record?
-7.18 eV per atom